Record 1
First-principles (PBE-GGA) data for crystalline Na3Tl5Pb12 at its relaxed geometry, as listed in the Alexandria database.

As for the density of states at the Fermi level: 10.34 states/eV/f.u. As for the crystal system: cubic.

It has space group Ia-3d (No. 230), with a = 18.2539 Å, b = 18.2539 Å, c = 18.2539 Å, α = 90.00°, β = 90.00° and γ = 90.00°. The asymmetric unit holds Na at (0.0000, 0.2500, 0.1250), Tl at (0.0000, 0.0000, 0.0000), Tl at (0.0000, 0.2500, 0.3750) and Pb at (0.0091, 0.0826, 0.6474).


Record 2
First-principles (PBE-GGA) data for crystalline NaTlPb at its relaxed geometry, as listed in the Alexandria database.

As for the density of states at the Fermi level: 1.33 states/eV/f.u. As for the crystal system: triclinic.

It has space group P-1 (No. 2), with a = 3.8608 Å, b = 6.4335 Å, c = 7.9523 Å, α = 108.05°, β = 90.01° and γ = 107.35°. The asymmetric unit holds Na at (0.0010, 0.0011, 0.2541), Tl at (0.3350, 0.6735, 0.9204) and Pb at (0.3245, 0.6494, 0.4114).


Record 3
First-principles (PBE-GGA) data for crystalline Na4TlPb at its relaxed geometry, as listed in the Alexandria database.

As for the density of states at the Fermi level: 3.93 states/eV/f.u. As for the crystal system: monoclinic. The relative energy among the computed polymorphs comes out at 0.000 eV/atom.

It has space group C2/m (No. 12), with a = 5.7176 Å, b = 10.8333 Å, c = 5.7366 Å, α = 90.00°, β = 90.16° and γ = 90.00°. The asymmetric unit holds Na at (0.0000, 0.1571, 0.0000), Na at (0.0000, 0.3389, 0.5000), Tl at (0.0000, 0.5000, 0.0000) and Pb at (0.0000, 0.0000, 0.5000).


Record 4
First-principles (PBE-GGA) data for crystalline Na12TlPb3 at its relaxed geometry, as listed in the Alexandria database.

As for the density of states at the Fermi level: 5.84 states/eV/f.u. As for the crystal system: tetragonal.

It has space group P4/mmm (No. 123), with a = 4.9285 Å, b = 4.9285 Å, c = 20.0318 Å, α = 90.00°, β = 90.00° and γ = 90.00°. The asymmetric unit holds Na at (0.0000, 0.0000, 0.0000), Na at (0.0000, 0.0000, 0.2498), Na at (0.0000, 0.0000, 0.5000), Na at (0.0000, 0.5000, 0.1245), Na at (0.0000, 0.5000, 0.3721), Tl at (0.5000, 0.5000, 0.5000), Pb at (0.5000, 0.5000, 0.0000) and Pb at (0.5000, 0.5000, 0.2513).


Record 5
First-principles (PBE-GGA) data for crystalline Na2Tl4Pb5 at its relaxed geometry, as listed in the Alexandria database.

As for the density of states at the Fermi level: 6.48 states/eV/f.u. As for the crystal system: monoclinic. The relative energy among the computed polymorphs comes out at 0.022 eV/atom.

It has space group C2/m (No. 12), with a = 23.2822 Å, b = 3.5115 Å, c = 8.4112 Å, α = 90.00°, β = 94.62° and γ = 90.00°. The asymmetric unit holds Na at (0.0575, 0.0000, 0.3756), Tl at (0.0755, 0.5000, 0.7255), Tl at (0.1374, 0.0000, 0.0663), Pb at (0.0000, 0.0000, 0.0000), Pb at (0.1906, 0.5000, 0.4203) and Pb at (0.2207, 0.5000, 0.8190).


Record 6
First-principles (PBE-GGA) data for crystalline Na4Tl4Pb at its relaxed geometry, as listed in the Alexandria database.

As for the density of states at the Fermi level: 3.80 states/eV/f.u. As for the crystal system: tetragonal. The relative energy among the computed polymorphs comes out at 0.000 eV/atom.

It has space group I4/mmm (No. 139), with a = 10.6526 Å, b = 10.6526 Å, c = 4.5579 Å, α = 90.00°, β = 90.00° and γ = 90.00°. The asymmetric unit holds Na at (0.1642, 0.1642, 0.0000), Tl at (0.0000, 0.3348, 0.5000) and Pb at (0.0000, 0.0000, 0.5000).


Energy relative to the elements values (in eV/atom) by entry order: 0.22; -0.11; -0.11; -0.09; -0.01; -0.11.
M_tot values (in μB per formula unit) by entry order: 0.0; 0.0; 0.0; 0.0; 0.0; 0.0.
Total energy values (in eV per atom) by entry order: -2.799; -2.576; -2.000; -1.919; -2.793; -2.163.